(1)
The following is a DFT calculation (GGA-PBE) of crystalline RbU2Se4 at its relaxed geometry.

Properties
Total DFT energy (no corrections) = -183.1 eV/cell
Spin magnetization = 5.03 μB/f.u.
V = 847.2 Å³/cell

```
data_RbU2Se4
_cell_length_a 4.198
_cell_length_b 13.944
_cell_length_c 14.474
_cell_angle_alpha 90.00
_cell_angle_beta 90.00
_cell_angle_gamma 90.00
_symmetry_space_group_name_H-M 'C m c m'
_symmetry_Int_Tables_number 63
_symmetry_space_group_name_Hall '-C 2c 2'
loop_
_atom_site_label
_atom_site_fract_x
_atom_site_fract_y
_atom_site_fract_z
Rb1 0.000 0.106 0.250
U1 0.000 0.366 0.064
Se1 0.000 0.000 0.000
Se2 0.000 0.264 0.607
Se3 0.000 0.416 0.250
```


(2)
The following is a DFT calculation (GGA-PBE) of crystalline Rb2WSe4 at its relaxed geometry.

Properties
Total DFT energy (no corrections) = -139.0 eV/cell
Spin magnetization = 0.01 μB/f.u.
V = 981.5 Å³/cell

```
data_Rb2WSe4
_cell_length_a 10.245
_cell_length_b 7.346
_cell_length_c 13.040
_cell_angle_alpha 90.00
_cell_angle_beta 90.00
_cell_angle_gamma 90.00
_symmetry_space_group_name_H-M 'P n m a'
_symmetry_Int_Tables_number 62
_symmetry_space_group_name_Hall '-P 2ac 2n'
loop_
_atom_site_label
_atom_site_fract_x
_atom_site_fract_y
_atom_site_fract_z
Rb1 0.046 0.250 0.158
Rb2 0.158 0.750 0.386
W1 0.250 0.250 0.569
Se1 0.026 0.750 0.111
Se2 0.150 0.506 0.640
Se3 0.218 0.250 0.392
```


(3)
The following is a DFT calculation (GGA-PBE) of crystalline RbYZnSe3 at its relaxed geometry.

Properties
Total DFT energy (no corrections) = -105.9 eV/cell
Spin magnetization = 0.00 μB/f.u.
V = 687.0 Å³/cell

```
data_RbYZnSe3
_cell_length_a 18.360
_cell_length_b 4.252
_cell_length_c 8.982
_cell_angle_alpha 90.00
_cell_angle_beta 101.55
_cell_angle_gamma 90.00
_symmetry_space_group_name_H-M 'C 1 2/m 1'
_symmetry_Int_Tables_number 12
_symmetry_space_group_name_Hall '-C 2y'
loop_
_atom_site_label
_atom_site_fract_x
_atom_site_fract_y
_atom_site_fract_z
Rb1 0.145 0.000 0.066
Y1 0.168 0.000 0.567
Zn1 0.024 0.500 0.734
Se1 0.000 0.000 0.500
Se2 0.000 0.500 0.000
Se3 0.160 0.500 0.778
Se4 0.173 0.500 0.360
```


(4)
The following is a DFT calculation (GGA-PBE) of crystalline RbYZnSe3 at its relaxed geometry.

Properties
Total DFT energy (no corrections) = -55.0 eV/cell
Spin magnetization = 0.00 μB/f.u.
V = 366.7 Å³/cell

```
data_RbYZnSe3
_cell_length_a 9.197
_cell_length_b 4.163
_cell_length_c 10.187
_cell_angle_alpha 90.00
_cell_angle_beta 109.92
_cell_angle_gamma 90.00
_symmetry_space_group_name_H-M 'P 1 21/m 1'
_symmetry_Int_Tables_number 11
_symmetry_space_group_name_Hall '-P 2yb'
loop_
_atom_site_label
_atom_site_fract_x
_atom_site_fract_y
_atom_site_fract_z
Rb1 0.223 0.250 0.250
Y1 0.326 0.750 0.863
Zn1 0.082 0.250 0.609
Se1 0.105 0.250 0.855
Se2 0.204 0.750 0.545
Se3 0.468 0.750 0.155
```


(5)
The following is a DFT calculation (GGA-PBE) of crystalline RbYZrSe3 at its relaxed geometry.

Properties
ΔE to the lowest computed polymorph = 0.081 eV per atom
Spin magnetization = 1.42 μB/f.u.
V = 729.7 Å³/cell

```
data_RbYZrSe3
_cell_length_a 4.262
_cell_length_b 15.904
_cell_length_c 10.766
_cell_angle_alpha 90.00
_cell_angle_beta 90.00
_cell_angle_gamma 90.00
_symmetry_space_group_name_H-M 'C m c m'
_symmetry_Int_Tables_number 63
_symmetry_space_group_name_Hall '-C 2c 2'
loop_
_atom_site_label
_atom_site_fract_x
_atom_site_fract_y
_atom_site_fract_z
Rb1 0.000 0.244 0.250
Y1 0.000 0.032 0.750
Zr1 0.000 0.500 0.000
Se1 0.000 0.118 0.531
Se2 0.000 0.428 0.750
```


(6)
The following is a DFT calculation (GGA-PBE) of crystalline RbYZrSe3 at its relaxed geometry.

Properties
ΔE to the lowest computed polymorph = 0.000 eV per atom
Spin magnetization = 0.05 μB/f.u.
V = 742.2 Å³/cell

```
data_RbYZrSe3
_cell_length_a 4.348
_cell_length_b 15.651
_cell_length_c 10.906
_cell_angle_alpha 90.00
_cell_angle_beta 90.00
_cell_angle_gamma 90.00
_symmetry_space_group_name_H-M 'C m c m'
_symmetry_Int_Tables_number 63
_symmetry_space_group_name_Hall '-C 2c 2'
loop_
_atom_site_label
_atom_site_fract_x
_atom_site_fract_y
_atom_site_fract_z
Rb1 0.000 0.246 0.250
Y1 0.000 0.500 0.000
Zr1 0.000 0.026 0.750
Se1 0.000 0.121 0.553
Se2 0.000 0.431 0.750
```